Material: K3La3PuSe8
Method: DFT, PBE-GGA
State: relaxed

Total magnetic moment (μB/f.u.): 4.0
D(E_F) (states/eV/atom): 0.830
Raw formation energy (eV per atom): -1.70

a b c (Å): 8.785 8.784 9.260
angles (deg): 118.33 90.00 120.00
Fractional coordinates of all 15 atoms:
Se: 0.263 0.526 0.288
Se: 0.249 0.024 0.300
Se: 0.225 0.449 0.700
Se: 0.737 0.474 0.712
Se: 0.225 0.976 0.700
Se: 0.751 0.976 0.700
Se: 0.775 0.024 0.300
Se: 0.775 0.551 0.300
K: 0.000 0.500 0.000
K: 0.500 0.500 0.000
K: 0.000 0.000 0.000
La: 0.500 0.500 0.500
La: 0.500 0.000 0.500
La: 0.000 0.500 0.500
Pu: 0.000 0.000 0.500



Material: KLa2Pu3Se6
Method: DFT, PBE-GGA
State: relaxed

Total magnetic moment (μB/f.u.): 6.0
D(E_F) (states/eV/atom): 3.147
Raw formation energy (eV per atom): -1.64

a b c (Å): 4.236 8.632 9.579
angles (deg): 103.18 102.78 90.00
Fractional coordinates of all 12 atoms:
Pu: 0.500 0.500 0.000
Pu: 0.834 0.167 0.668
Pu: 0.166 0.833 0.332
Se: 0.673 0.079 0.345
Se: 0.336 0.410 0.671
Se: 0.999 0.269 0.998
Se: 0.664 0.590 0.329
Se: 0.327 0.921 0.655
Se: 0.001 0.731 0.002
La: 0.167 0.335 0.334
La: 0.833 0.665 0.666
K: 0.500 0.000 0.000



Material: K4La3PuSe8
Method: DFT, PBE-GGA
State: relaxed

Total magnetic moment (μB/f.u.): 5.0
D(E_F) (states/eV/atom): 0.844
Raw formation energy (eV per atom): -1.73

a b c (Å): 8.836 9.199 8.836
angles (deg): 118.71 120.00 90.00
Fractional coordinates of all 16 atoms:
Pu: 0.000 0.500 0.000
Se: 0.233 0.709 0.466
Se: 0.743 0.709 0.976
Se: 0.767 0.291 0.024
Se: 0.262 0.287 0.525
Se: 0.738 0.713 0.475
Se: 0.257 0.291 0.024
Se: 0.767 0.291 0.534
Se: 0.233 0.709 0.976
K: 0.500 0.000 0.000
K: 0.000 0.000 0.000
K: 0.500 0.000 0.500
K: 0.000 0.000 0.500
La: 0.000 0.500 0.500
La: 0.500 0.500 0.500
La: 0.500 0.500 0.000



Material: K3LaPu2Te6
Method: DFT, PBE-GGA
State: relaxed

Total magnetic moment (μB/f.u.): 10.0
D(E_F) (states/eV/atom): 2.273
Raw formation energy (eV per atom): -1.23

a b c (Å): 8.010 8.010 8.619
angles (deg): 98.92 98.92 120.00
Fractional coordinates of all 12 atoms:
Te: 0.729 0.729 0.211
Te: 0.271 0.271 0.789
Te: 0.929 0.588 0.788
Te: 0.412 0.071 0.212
Te: 0.071 0.412 0.212
Te: 0.588 0.929 0.788
K: 0.500 0.500 0.500
K: 0.165 0.835 0.500
K: 0.835 0.165 0.500
Pu: 0.333 0.667 0.000
Pu: 0.667 0.333 0.000
La: 0.000 0.000 0.000



Material: KLa2Pu3Te6
Method: DFT, PBE-GGA
State: relaxed

Total magnetic moment (μB/f.u.): 5.6
D(E_F) (states/eV/atom): 2.629
Raw formation energy (eV per atom): -1.01

a b c (Å): 4.256 12.375 15.837
angles (deg): 147.59 97.72 90.00
Fractional coordinates of all 12 atoms:
La: 0.691 0.076 0.381
La: 0.309 0.924 0.619
Te: 0.951 0.147 0.902
Te: 0.849 0.213 0.698
Te: 0.049 0.853 0.098
Te: 0.151 0.787 0.302
Te: 0.703 0.556 0.406
Te: 0.297 0.444 0.594
Pu: 0.416 0.519 0.831
Pu: 0.500 0.500 0.000
Pu: 0.584 0.481 0.169
K: 0.500 0.000 0.000



Material: KLa2PuTe4
Method: DFT, PBE-GGA
State: relaxed

Total magnetic moment (μB/f.u.): 6.1
D(E_F) (states/eV/atom): 2.265
Raw formation energy (eV per atom): -1.37

a b c (Å): 4.592 8.019 8.061
angles (deg): 70.91 90.00 90.00
Fractional coordinates of all 8 atoms:
Te: 0.000 0.241 0.262
Te: 0.500 0.252 0.741
Te: 0.500 0.748 0.259
Te: 0.000 0.759 0.738
La: 0.500 0.000 0.500
La: 0.000 0.000 0.000
Pu: 0.000 0.500 0.500
K: 0.500 0.500 0.000



Material: K4La3PuTe8
Method: DFT, PBE-GGA
State: relaxed

Total magnetic moment (μB/f.u.): 5.0
D(E_F) (states/eV/atom): 0.918
Raw formation energy (eV per atom): -1.39

a b c (Å): 9.384 9.825 9.385
angles (deg): 118.53 120.00 90.00
Fractional coordinates of all 16 atoms:
Te: 0.261 0.283 0.522
Te: 0.744 0.713 0.978
Te: 0.235 0.713 0.470
Te: 0.235 0.713 0.978
Te: 0.765 0.287 0.530
Te: 0.739 0.717 0.478
Te: 0.765 0.287 0.022
Te: 0.256 0.287 0.022
Pu: 0.000 0.500 0.000
La: 0.500 0.500 0.000
La: 0.500 0.500 0.500
La: 0.000 0.500 0.500
K: 0.500 0.000 0.000
K: 0.000 0.000 0.500
K: 0.000 0.000 0.000
K: 0.500 0.000 0.500



Material: K3RbLa
Method: DFT, PBE-GGA
State: relaxed

Total magnetic moment (μB/f.u.): 4.0
D(E_F) (states/eV/atom): 3.268
Energy of formation from the pure elements (eV/atom): 0.6671

a b c (Å): 7.309 7.309 7.309
angles (deg): 90.00 90.00 90.00
Fractional coordinates of all 5 atoms:
K: 0.000 0.500 0.000
K: 0.500 0.000 0.000
K: 0.000 0.000 0.500
Rb: 0.500 0.500 0.500
La: 0.000 0.000 0.000



Material: KRbLa3
Method: DFT, PBE-GGA
State: relaxed

Total magnetic moment (μB/f.u.): 0.0
D(E_F) (states/eV/atom): 1.765
Energy of formation from the pure elements (eV/atom): 1.0244

a b c (Å): 6.212 6.212 6.212
angles (deg): 90.00 90.00 90.00
Fractional coordinates of all 5 atoms:
La: 0.000 0.000 0.500
La: 0.000 0.500 0.000
La: 0.500 0.000 0.000
Rb: 0.500 0.500 0.500
K: 0.000 0.000 0.000



Material: K2RbLa2
Method: DFT, PBE-GGA
State: relaxed

Total magnetic moment (μB/f.u.): 1.3
D(E_F) (states/eV/atom): 1.528
Energy of formation from the pure elements (eV/atom): 0.4907

a b c (Å): 12.390 12.390 3.804
angles (deg): 90.00 90.00 90.00
Fractional coordinates of all 10 atoms:
Rb: 0.500 0.500 0.000
Rb: 0.000 0.000 0.000
La: 0.582 0.918 0.500
La: 0.082 0.582 0.500
La: 0.918 0.418 0.500
La: 0.418 0.082 0.500
K: 0.802 0.698 0.000
K: 0.698 0.198 0.000
K: 0.198 0.302 0.000
K: 0.302 0.802 0.000



Material: KRbLa3
Method: DFT, PBE-GGA
State: relaxed

Total magnetic moment (μB/f.u.): 0.0
D(E_F) (states/eV/atom): 1.573
Energy of formation from the pure elements (eV/atom): 1.0320

a b c (Å): 6.118 6.118 6.118
angles (deg): 90.00 90.00 90.00
Fractional coordinates of all 5 atoms:
La: 0.000 0.000 0.500
La: 0.500 0.000 0.000
La: 0.000 0.500 0.000
Rb: 0.000 0.000 0.000
K: 0.500 0.500 0.500



Material: K2RbLa2
Method: DFT, PBE-GGA
State: relaxed

Total magnetic moment (μB/f.u.): 0.0
D(E_F) (states/eV/atom): 1.846
Energy of formation from the pure elements (eV/atom): 0.3581

a b c (Å): 4.588 4.588 15.162
angles (deg): 81.30 81.30 90.00
Fractional coordinates of all 5 atoms:
La: 0.750 0.250 0.500
La: 0.250 0.750 0.500
K: 0.372 0.372 0.256
K: 0.628 0.628 0.744
Rb: 0.000 0.000 0.000



Material: KRb2LaSb
Method: DFT, PBE-GGA
State: relaxed

Total magnetic moment (μB/f.u.): 2.1
D(E_F) (states/eV/atom): 0.812
Raw formation energy (eV per atom): 0.74

a b c (Å): 6.103 6.645 6.103
angles (deg): 90.00 90.00 90.00
Fractional coordinates of all 5 atoms:
Rb: 0.500 0.000 0.000
Rb: 0.000 0.000 0.500
K: 0.000 0.000 0.000
Sb: 0.500 0.500 0.500
La: 0.000 0.500 0.000



Material: KRb2LaTc
Method: DFT, PBE-GGA
State: relaxed

Total magnetic moment (μB/f.u.): 1.2
D(E_F) (states/eV/atom): 1.287
Energy of formation from the pure elements (eV/atom): 1.8095

a b c (Å): 5.768 6.720 5.768
angles (deg): 90.00 90.00 90.00
Fractional coordinates of all 5 atoms:
Rb: 0.000 0.000 0.500
Rb: 0.500 0.000 0.000
Tc: 0.500 0.500 0.500
La: 0.000 0.500 0.000
K: 0.000 0.000 0.000



Material: K2LaRe
Method: DFT, PBE-GGA
State: relaxed

Total magnetic moment (μB/f.u.): 0.2
D(E_F) (states/eV/atom): 1.279
Energy of formation from the pure elements (eV/atom): 1.2864

a b c (Å): 3.017 6.424 6.014
angles (deg): 90.00 90.00 90.00
Fractional coordinates of all 4 atoms:
K: 0.000 0.000 0.517
K: 0.000 0.000 0.983
Re: 0.500 0.500 0.750
La: 0.500 0.500 0.250



Material: K2LaRe
Method: DFT, PBE-GGA
State: relaxed

Total magnetic moment (μB/f.u.): 0.6
D(E_F) (states/eV/atom): 0.940
Energy of formation from the pure elements (eV/atom): 1.3370

a b c (Å): 13.503 13.503 13.503
angles (deg): 13.26 13.26 13.26
Fractional coordinates of all 4 atoms:
Re: 0.750 0.750 0.750
K: 0.487 0.487 0.487
K: 0.013 0.013 0.013
La: 0.250 0.250 0.250



Material: K2LaRe
Method: DFT, PBE-GGA
State: relaxed

Total magnetic moment (μB/f.u.): 0.9
D(E_F) (states/eV/atom): 0.776
Energy of formation from the pure elements (eV/atom): 0.7709

a b c (Å): 3.791 3.791 11.000
angles (deg): 90.00 90.00 90.15
Fractional coordinates of all 4 atoms:
K: 0.500 0.500 0.289
K: 0.000 0.000 0.921
La: 0.000 0.000 0.593
Re: 0.500 0.500 0.696



Material: K3LaRe
Method: DFT, PBE-GGA
State: relaxed

Total magnetic moment (μB/f.u.): 0.9
D(E_F) (states/eV/atom): 1.427
Energy of formation from the pure elements (eV/atom): 1.6908

a b c (Å): 6.345 6.345 6.345
angles (deg): 90.00 90.00 90.00
Fractional coordinates of all 5 atoms:
K: 0.500 0.000 0.000
K: 0.000 0.500 0.000
K: 0.000 0.000 0.500
Re: 0.000 0.000 0.000
La: 0.500 0.500 0.500



Material: K2LaRe
Method: DFT, PBE-GGA
State: relaxed

Total magnetic moment (μB/f.u.): 1.3
D(E_F) (states/eV/atom): 1.075
Energy of formation from the pure elements (eV/atom): 1.2012

a b c (Å): 4.366 4.366 13.780
angles (deg): 80.89 80.89 90.00
Fractional coordinates of all 8 atoms:
La: 0.500 0.500 0.000
La: 0.250 0.750 0.500
K: 0.875 0.886 0.750
K: 0.636 0.125 0.250
K: 0.375 0.364 0.750
K: 0.114 0.625 0.250
Re: 0.750 0.250 0.500
Re: 0.000 0.000 0.000



Material: K2LaRe
Method: DFT, PBE-GGA
State: relaxed

Total magnetic moment (μB/f.u.): 0.2
D(E_F) (states/eV/atom): 1.425
Energy of formation from the pure elements (eV/atom): 1.3130

a b c (Å): 3.030 3.030 13.452
angles (deg): 90.00 90.00 114.32
Fractional coordinates of all 4 atoms:
K: 0.000 0.000 0.962
K: 0.000 0.000 0.538
Re: 0.500 0.500 0.750
La: 0.500 0.500 0.250



Material: K2LaRe
Method: DFT, PBE-GGA
State: relaxed

Total magnetic moment (μB/f.u.): 1.9
D(E_F) (states/eV/atom): 0.933
Energy of formation from the pure elements (eV/atom): 1.4492

a b c (Å): 5.001 5.001 5.833
angles (deg): 90.00 90.00 90.00
Fractional coordinates of all 4 atoms:
K: 0.000 0.000 0.985
K: 0.000 0.000 0.515
Re: 0.500 0.500 0.750
La: 0.500 0.500 0.250



Material: K2LaRe
Method: DFT, PBE-GGA
State: relaxed

Total magnetic moment (μB/f.u.): 0.0
D(E_F) (states/eV/atom): 1.101
Energy of formation from the pure elements (eV/atom): 0.7700

a b c (Å): 4.491 3.425 10.548
angles (deg): 82.99 90.00 90.00
Fractional coordinates of all 4 atoms:
Re: 0.500 0.858 0.645
K: 0.500 0.272 0.312
K: 0.000 0.935 0.934
La: 0.000 0.434 0.609



Material: K2LaRe
Method: DFT, PBE-GGA
State: relaxed

Total magnetic moment (μB/f.u.): 0.0
D(E_F) (states/eV/atom): 1.118
Energy of formation from the pure elements (eV/atom): 1.1393

a b c (Å): 6.675 3.542 5.140
angles (deg): 83.17 90.00 90.00
Fractional coordinates of all 4 atoms:
K: 0.000 0.985 0.983
K: 0.000 0.515 0.517
Re: 0.500 0.750 0.750
La: 0.500 0.250 0.250



Material: K2LaRe
Method: DFT, PBE-GGA
State: relaxed

Total magnetic moment (μB/f.u.): 0.0
D(E_F) (states/eV/atom): 0.317
Energy of formation from the pure elements (eV/atom): 0.8841

a b c (Å): 12.753 12.753 12.753
angles (deg): 16.44 16.44 16.44
Fractional coordinates of all 4 atoms:
La: 0.475 0.475 0.475
Re: 0.758 0.758 0.758
K: 0.245 0.245 0.245
K: 0.021 0.021 0.021



Material: K3LaRe
Method: DFT, PBE-GGA
State: relaxed

Total magnetic moment (μB/f.u.): 0.7
D(E_F) (states/eV/atom): 1.364
Energy of formation from the pure elements (eV/atom): 2.1546

a b c (Å): 6.785 6.785 6.785
angles (deg): 90.00 90.00 90.00
Fractional coordinates of all 5 atoms:
K: 0.000 0.500 0.000
K: 0.000 0.000 0.500
K: 0.500 0.000 0.000
La: 0.000 0.000 0.000
Re: 0.500 0.500 0.500



Material: K2LaRe
Method: DFT, PBE-GGA
State: relaxed

Total magnetic moment (μB/f.u.): 1.4
D(E_F) (states/eV/atom): 1.399
Energy of formation from the pure elements (eV/atom): 1.1750

a b c (Å): 7.236 7.236 7.236
angles (deg): 144.43 144.43 51.18
Fractional coordinates of all 4 atoms:
K: 0.000 0.000 0.000
K: 0.500 0.500 0.000
La: 0.250 0.750 0.500
Re: 0.750 0.250 0.500